A geometry-optimized CuOs2Au structure. Source: the Alexandria database, functional PBEsol.

```
CuOs2Au
1.0
4.543 -1.360 0.000
4.543 1.360 0.000
-0.858 0.000 4.569
Cu Os Au
1 2 1
Direct
0.000 0.000 0.000 Cu
0.255 0.255 0.765 Os
0.745 0.745 0.235 Os
0.500 0.500 0.500 Au
```

Results
- total magnetization (μB per cell) = 0.001
- DFT formation energy (meV per atom) = 469.3
- polymorph energy (0 for the lowest one) (eV per formula unit) = 0.89